Record 1
# PrNdIrBr

PrNdIrBr after structural relaxation (PBE-GGA, the Alexandria database).

Values from the calculation:
Magnetization = 0.0 μB/cell
Uncorrected energy = -6.087 eV per atom
Formation energy from raw total energies = -1067 meV per atom

Lattice parameters (Å, degrees): 4.1734 4.1734 8.2773 90.01 104.61 120.00
Closest atoms and distances in Å follow each position.
Fractional positions:
Ir 0.3051 0.5504 0.8710  3 Nd 2.84, 3 Pr 2.86
Br 0.9649 0.3807 0.3600  3 Nd 3.37, 3 Pr 3.48
Pr 0.5089 0.1522 0.6768  3 Ir 2.86
Nd 0.0991 0.9475 0.0619  3 Ir 2.84

Record 2
# CoOs8

CoOs8 after structural relaxation (PBE-GGA, the Alexandria database).

Values from the calculation:
Magnetization = 0.0 μB/cell
Uncorrected energy = -10.621 eV per atom
ΔH_f (0 K) = 150 meV/atom

Lattice parameters (Å, degrees): 6.0456 6.0456 6.0456 95.75 95.75 143.08
Closest atoms and distances in Å follow each position.
Fractional positions:
Os 0.6671 0.0000 0.6671  1 Co 2.70, 11 Os 2.70-2.71
Os 0.3345 0.6655 0.0000  10 Os 2.69-2.72, 2 Co 2.70
Os 0.3345 0.3345 0.6689  10 Os 2.69-2.72, 2 Co 2.70
Os 0.6655 0.6655 0.3311  10 Os 2.69-2.72, 2 Co 2.70
Os 0.0000 0.6671 0.6671  1 Co 2.70, 11 Os 2.70-2.71
Os 0.3329 0.0000 0.3329  1 Co 2.70, 11 Os 2.70-2.71
Os 0.6655 0.3345 0.0000  10 Os 2.69-2.72, 2 Co 2.70
Os 0.0000 0.3329 0.3329  1 Co 2.70, 11 Os 2.70-2.71
Co 0.0000 0.0000 0.0000  12 Os 2.70

Record 3
# LiPr4Tl3

LiPr4Tl3 after structural relaxation (PBE-GGA, the Alexandria database).

Values from the calculation:
Magnetization = 0.0 μB/cell
Uncorrected energy = -3.818 eV per atom
ΔH_f (0 K) = -302 meV/atom

Lattice parameters (Å, degrees): 5.5310 5.5310 9.6345 73.32 73.32 60.00
Closest atoms and distances in Å follow each position.
Fractional positions:
Pr 0.1260 0.1260 0.6221  7 Tl 3.38-3.57, 1 Li 3.44
Pr 0.6226 0.6226 0.1321  5 Tl 3.29-3.34, 3 Li 3.41
Pr 0.8740 0.8740 0.3779  7 Tl 3.38-3.57, 1 Li 3.44
Pr 0.3774 0.3774 0.8679  5 Tl 3.29-3.34, 3 Li 3.41
Tl 0.7431 0.7431 0.7706  8 Pr 3.29-3.57
Tl 0.2569 0.2569 0.2294  8 Pr 3.29-3.57
Tl 0.5000 0.5000 0.5000  8 Pr 3.34-3.38
Li 0.0000 0.0000 0.0000  8 Pr 3.41-3.44, 6 Tl 3.81

Record 4
# Pr2BSe

Pr2BSe after structural relaxation (PBE-GGA, the Alexandria database).

Values from the calculation:
Magnetization = 0.0 μB/cell
Uncorrected energy = -5.732 eV per atom
Formation energy from raw total energies = -802 meV per atom

Lattice parameters (Å, degrees): 4.0406 4.0406 7.4835 74.34 74.34 60.00
Closest atoms and distances in Å follow each position.
Fractional positions:
B 0.0000 0.0000 0.0000  6 Pr 2.84
Se 0.5000 0.5000 0.5000  6 Pr 3.04
Pr 0.2577 0.2577 0.2270  3 B 2.84, 3 Se 3.04
Pr 0.7423 0.7423 0.7730  3 B 2.84, 3 Se 3.04

Record 5
# Cd2Pb2S

Cd2Pb2S after structural relaxation (PBE-GGA, the Alexandria database).

Values from the calculation:
Magnetization = 0.0 μB/cell
Uncorrected energy = -2.628 eV per atom
Formation energy from raw total energies = 47 meV per atom

Lattice parameters (Å, degrees): 7.2015 7.2015 5.1454 90.00 90.00 90.00
Closest atoms and distances in Å follow each position.
Fractional positions:
Pb 0.1656 0.6656 0.5000  6 Cd 3.23-3.40, 1 Pb 3.37
Pb 0.6656 0.8344 0.5000  6 Cd 3.23-3.40, 1 Pb 3.37
Pb 0.3344 0.1656 0.5000  6 Cd 3.23-3.40, 1 Pb 3.37
Pb 0.8344 0.3344 0.5000  6 Cd 3.23-3.40, 1 Pb 3.37
Cd 0.8581 0.6419 0.0000  2 S 2.77, 1 Cd 2.89
Cd 0.1419 0.3581 0.0000  2 S 2.77, 1 Cd 2.89
Cd 0.6419 0.1419 0.0000  2 S 2.77, 1 Cd 2.89
Cd 0.3581 0.8581 0.0000  2 S 2.77, 1 Cd 2.89
S 0.5000 0.5000 0.0000  4 Cd 2.77
S 0.0000 0.0000 0.0000  4 Cd 2.77

Record 6
# LiMn2Co

LiMn2Co after structural relaxation (PBE-GGA, the Alexandria database).

Values from the calculation:
Magnetization = 7.9 μB/cell
Offset from the most stable computed form = 43.8 meV/atom
Uncorrected energy = -6.617 eV per atom
ΔH_f (0 K) = 223 meV/atom

Lattice parameters (Å, degrees): 4.1200 4.1200 4.1200 60.00 60.00 60.00
Closest atoms and distances in Å follow each position.
Fractional positions:
Mn 0.2500 0.2500 0.2500  4 Co 2.52, 4 Li 2.52
Mn 0.7500 0.7500 0.7500  4 Li 2.52, 4 Co 2.52
Co 0.5000 0.5000 0.5000  8 Mn 2.52
Li 0.0000 0.0000 0.0000  8 Mn 2.52